Record 1
Crystalline Rb3PrNd2Se6 at its relaxed geometry, computed with PBE.

Structure (CIF):
```
data_Rb3PrNd2Se6
_cell_length_a 7.602
_cell_length_b 7.602
_cell_length_c 8.419
_cell_angle_alpha 98.66
_cell_angle_beta 98.66
_cell_angle_gamma 120.00
_symmetry_space_group_name_H-M 'P 1'
_symmetry_Int_Tables_number 1
_symmetry_space_group_name_Hall 'P 1'
loop_
_atom_site_label
_atom_site_type_symbol
_atom_site_fract_x
_atom_site_fract_y
_atom_site_fract_z
Rb1 Rb 0.000 0.000 0.000
Rb2 Rb 0.333 0.667 0.000
Rb3 Rb 0.667 0.333 0.000
Pr1 Pr 0.500 0.500 0.500
Nd1 Nd 0.167 0.833 0.500
Nd2 Nd 0.833 0.167 0.500
Se1 Se 0.098 0.433 0.298
Se2 Se 0.232 0.232 0.702
Se3 Se 0.433 0.098 0.298
Se4 Se 0.567 0.902 0.702
Se5 Se 0.768 0.768 0.298
Se6 Se 0.902 0.567 0.702
```

***

Record 2
Crystalline Rb4PrNd3Se8 at its relaxed geometry, computed with PBE.

Structure (CIF):
```
data_Rb4PrNd3Se8
_cell_length_a 9.493
_cell_length_b 9.493
_cell_length_c 9.493
_cell_angle_alpha 55.04
_cell_angle_beta 55.04
_cell_angle_gamma 55.04
_symmetry_space_group_name_H-M 'P 1'
_symmetry_Int_Tables_number 1
_symmetry_space_group_name_Hall 'P 1'
loop_
_atom_site_label
_atom_site_type_symbol
_atom_site_fract_x
_atom_site_fract_y
_atom_site_fract_z
Rb1 Rb 0.000 0.000 0.000
Rb2 Rb 0.000 0.500 0.500
Rb3 Rb 0.500 0.000 0.500
Rb4 Rb 0.500 0.500 0.000
Pr1 Pr 0.500 0.500 0.500
Nd1 Nd 0.000 0.000 0.500
Nd2 Nd 0.000 0.500 0.000
Nd3 Nd 0.500 0.000 0.000
Se1 Se 0.232 0.735 0.735
Se2 Se 0.234 0.234 0.234
Se3 Se 0.265 0.265 0.768
Se4 Se 0.265 0.768 0.265
Se5 Se 0.735 0.232 0.735
Se6 Se 0.735 0.735 0.232
Se7 Se 0.766 0.766 0.766
Se8 Se 0.768 0.265 0.265
```

***

Which DFT total energy belongs to each record? In order, -4.91; -4.91 eV/atom.